1.
! Gd2Y2O5 | OQMD via LeMat-Bulk | PBE | relaxed; values from VASP
! - ΔE to the lowest computed polymorph (meV per atom) = 19
! - space group = P4/mmm, No. 123
&SYSTEM
  ibrav = 0, nat = 9, ntyp = 3
/
ATOMIC_SPECIES
Gd 157.25 Gd.upf
O 16.00 O.upf
Y 88.91 Y.upf
ATOMIC_POSITIONS angstrom
Gd 2.352 1.944 1.944
O 8.353 0.000 1.944
O 1.376 0.000 1.944
O 8.353 1.944 0.000
Y 4.864 0.000 0.000
O 4.864 1.944 1.944
Gd 7.376 1.944 1.944
Y 0.000 0.000 0.000
O 1.376 1.944 0.000
CELL_PARAMETERS angstrom
9.728 0.000 0.000
0.000 3.887 0.000
0.000 0.000 3.887

2.
! MgTaZnNi | OQMD via LeMat-Bulk | PBE | relaxed; values from VASP
! - ΔE to the lowest computed polymorph (meV per atom) = 0
! - space group = F-43m, No. 216
&SYSTEM
  ibrav = 0, nat = 4, ntyp = 4
/
ATOMIC_SPECIES
Ta 180.95 Ta.upf
Mg 24.30 Mg.upf
Ni 58.69 Ni.upf
Zn 65.41 Zn.upf
ATOMIC_POSITIONS angstrom
Ta 3.099 3.099 3.099
Mg 1.550 1.550 1.550
Ni 4.649 4.649 4.649
Zn 0.000 0.000 0.000
CELL_PARAMETERS angstrom
0.000 3.099 3.099
3.099 0.000 3.099
3.099 3.099 0.000

- Among the records above, which one has the highest ΔE to the lowest computed polymorph?
  Gd2Y2O5